Below is crystalline BaMnIr at its relaxed geometry, with properties calculated at the PBE-GGA level.

## Properties
* density of states at the Fermi level: 1.0672 states/eV per atom
* energy relative to the lowest polymorph listed for this composition: 1006 meV/atom
* energy of formation: 1.019 eV/atom
* calculated density: 5.51 g cm⁻³

abc: 5.4848 5.4848 8.9001
angles: 90.00 90.00 120.00
Each line ends with the local moment (μB).
Fractional positions:
Ba: 0.6667 0.3333 0.7500  0.05
Ir: 0.0000 0.0000 0.0000  0.24
Ba: 0.3333 0.6667 0.2500  0.05
Mn: 0.0000 0.0000 0.2500  2.90
Mn: 0.0000 0.0000 0.7500  2.90
Ir: 0.0000 0.0000 0.5000  0.24


Below is crystalline Ca2DyPaSb4 at its relaxed geometry, with properties calculated at the PBE-GGA level.

## Properties
* calculated density: 6.36 g cm⁻³
* E_form (uncorrected): -7.19 eV per formula unit

abc: 4.4731 7.6670 7.7441
angles: 109.29 90.00 90.00
Each line ends with the local moment (μB).
Fractional positions:
Sb: 0.0000 0.2486 0.7643  0.00
Ca: 0.5000 0.0000 0.5000  0.00
Sb: 0.5000 0.2405 0.2345  -0.01
Ca: 0.0000 0.5000 0.5000  0.00
Sb: 0.5000 0.7595 0.7655  -0.01
Sb: 0.0000 0.7514 0.2357  0.00
Dy: 0.5000 0.5000 0.0000  0.00
Pa: 0.0000 0.0000 0.0000  0.13


Below is crystalline CaYRe2 at its relaxed geometry, with properties calculated at the PBE-GGA level.

## Properties
* density of states at the Fermi level: 1.0941 states/eV per atom
* energy relative to the lowest polymorph listed for this composition: 414 meV/atom
* energy of formation: 0.600 eV/atom
* calculated density: 10.64 g cm⁻³

abc: 4.8017 4.8017 4.8017
angles: 60.00 60.00 60.00
Fractional positions:
Y: 0.2500 0.2500 0.2500
Ca: 0.5000 0.5000 0.5000
Re: 0.7500 0.7500 0.7500
Re: 0.0000 0.0000 0.0000


Below is crystalline P2PbBr at its relaxed geometry, with properties calculated at the PBE-GGA level.

## Properties
* density of states at the Fermi level: 0.7144 states/eV per atom
* energy relative to the lowest polymorph listed for this composition: 589 meV/atom
* calculated density: 5.93 g cm⁻³
* E_form (uncorrected): 1.83 eV per formula unit

abc: 5.0272 5.0266 5.0217
angles: 69.70 70.98 109.06
Fractional positions:
P: 0.0000 0.0000 0.0000
P: 0.0000 0.5000 0.5000
Pb: 0.5000 0.5000 0.0000
Br: 0.5000 0.0000 0.5000


Below is crystalline Cr2IrCl at its relaxed geometry, with properties calculated at the PBE-GGA level.

## Properties
* density of states at the Fermi level: 0.8241 states/eV per atom
* energy relative to the lowest polymorph listed for this composition: 358 meV/atom
* calculated density: 9.35 g cm⁻³
* E_form (uncorrected): 1.74 eV per formula unit

abc: 5.2937 5.2937 5.2937
angles: 148.51 129.91 60.38
Each line ends with the local moment (μB).
Fractional positions:
Cr: 0.7413 0.2413 0.5000  2.90
Cl: 0.2407 0.7407 0.5000  -0.03
Ir: 0.4984 0.4984 0.0000  -0.12
Cr: 0.0196 0.0196 0.0000  -2.82


Below is crystalline Sr4La at its relaxed geometry, with properties calculated at the PBE-GGA level.

## Properties
* density of states at the Fermi level: 1.8768 states/eV per atom
* energy relative to the lowest polymorph listed for this composition: 113 meV/atom
* energy of formation: 0.507 eV/atom
* calculated density: 2.74 g cm⁻³

abc: 7.2782 7.2782 7.2782
angles: 109.47 109.47 109.47
Fractional positions:
La: 0.0000 0.0000 0.0000
Sr: 0.0000 0.0000 0.5000
Sr: 0.5000 0.5000 0.5000
Sr: 0.0000 0.5000 0.0000
Sr: 0.5000 0.0000 0.0000